Here is a geometry-optimized PuTi2NiN4 structure from Alexandria. Energies are from GGA-PBE.

The density of states at the Fermi level is 0.83 states/eV/atom. For the total energy, the calculation gives -9.783 eV/atom. For the uncorrected formation energy, the calculation gives -1.13 eV per atom.

It has space group Cmcm (No. 63), with a = 3.106 Å, b = 10.440 Å, c = 10.587 Å, α = 90.00°, β = 90.00° and γ = 90.00°. The distinct sites, in fractional coordinates, are Pu at (0.000, 0.109, 0.250), Ti at (0.000, 0.368, 0.048), Ni at (0.000, 0.158, 0.750), N at (0.000, 0.000, 0.000), N at (0.000, 0.271, 0.610) and N at (0.000, 0.454, 0.250).